# PrMg2Zr, optimized geometry, DFT GGA-PBE
# M_tot = 0.00 μB/f.u.
# E_tot = -4.011 eV/atom
data_PrMg2Zr
_chemical_formula_sum 'Pr3 Mg6 Zr3'
_cell_length_a 3.2482
_cell_length_b 3.2482
_cell_length_c 34.1420
_cell_angle_alpha 90.00
_cell_angle_beta 90.00
_cell_angle_gamma 120.00
_space_group_name_H-M_alt 'R -3 m'
_space_group_IT_number 166
_space_group_name_Hall '-R 3 2"'
loop_
_atom_site_label
_atom_site_fract_x
_atom_site_fract_y
_atom_site_fract_z
Pr1 0.0000 0.0000 0.0000
Mg1 0.0000 0.0000 0.2447
Zr1 0.0000 0.0000 0.5000